# FeReO3

FeReO3 after structural relaxation (PBE with a Hubbard U, the Alexandria database).

The space group is Pm-3m (No. 221) and the conventional cell measures 3.827, 3.827 and 3.827 Å, with angles of 90.00, 90.00 and 90.00 degrees. The distinct sites, in fractional coordinates, are Fe at (0.000, 0.000, 0.000), Re at (0.500, 0.500, 0.500) and O at (0.000, 0.000, 0.500).

The calculation puts the electronic total energy at -6.496 eV per atom. The magnetic moment comes out at 9.00 μB per formula unit.